No. 1
Here is crystalline Ru2WCl at its relaxed geometry from Alexandria via LeMat-Bulk. Energies are from PBEsol.

CIF file:
```
data_Ru2WCl
_symmetry_space_group_name_H-M 'C m m m'
_symmetry_Int_Tables_number 65
_symmetry_space_group_name_Hall '-C 2 2'
_cell_length_a 2.942
_cell_length_b 4.784
_cell_length_c 8.453
_cell_angle_alpha 90.00
_cell_angle_beta 90.00
_cell_angle_gamma 90.00
loop_
_atom_site_label
_atom_site_fract_x
_atom_site_fract_y
_atom_site_fract_z
Ru1 0.000 0.000 0.247
W1 0.000 0.500 0.000
Cl1 0.000 0.500 0.500
```

**E_form (uncorrected)**: 0.51 eV/atom

No. 2
Here is crystalline RuW2Cl at its relaxed geometry from Alexandria via LeMat-Bulk. Energies are from PBEsol.

CIF file:
```
data_RuW2Cl
_symmetry_space_group_name_H-M 'I m m m'
_symmetry_Int_Tables_number 71
_symmetry_space_group_name_Hall '-I 2 2'
_cell_length_a 2.898
_cell_length_b 4.465
_cell_length_c 8.943
_cell_angle_alpha 90.00
_cell_angle_beta 90.00
_cell_angle_gamma 90.00
loop_
_atom_site_label
_atom_site_fract_x
_atom_site_fract_y
_atom_site_fract_z
Ru1 0.000 0.000 0.000
W1 0.000 0.500 0.228
Cl1 0.000 0.000 0.500
```

**E_form (uncorrected)**: 0.71 eV/atom

No. 3
Here is crystalline RuW2Cl at its relaxed geometry from Alexandria via LeMat-Bulk. Energies are from PBEsol.

CIF file:
```
data_RuW2Cl
_symmetry_space_group_name_H-M 'C m m m'
_symmetry_Int_Tables_number 65
_symmetry_space_group_name_Hall '-C 2 2'
_cell_length_a 5.141
_cell_length_b 8.331
_cell_length_c 2.800
_cell_angle_alpha 90.00
_cell_angle_beta 90.00
_cell_angle_gamma 90.00
loop_
_atom_site_label
_atom_site_fract_x
_atom_site_fract_y
_atom_site_fract_z
Ru1 0.000 0.000 0.000
W1 0.250 0.250 0.500
Cl1 0.000 0.500 0.000
```

**E_form (uncorrected)**: 0.98 eV/atom

So what do the calculations give for final energy? Going down the list: -8.53 -9.24 -8.97 eV/atom.
So what do the calculations give for energy relative to the lowest polymorph listed for this composition? Going down the list: 8 329 602 meV/atom.